An optimized crystal structure of Be2HgAu7. Source: the Alexandria database, functional PBE.

Cell lengths 4.1138, 4.1138, 20.3872 Å; angles 90.00, 90.00, 90.00 degrees
Closest atoms and distances in Å follow each position.
Space group I4/mmm (No. 139)
Asymmetric unit:
1 Be 0.0000 0.0000 0.1789 (multiplicity 4)  8 Au 2.47-2.52
2 Hg 0.0000 0.0000 0.5000 (multiplicity 2)  12 Au 2.91-3.06
3 Au 0.0000 0.0000 0.0000 (multiplicity 2)  4 Hg 2.91, 8 Au 3.06
4 Au 0.0000 0.5000 0.1114 (multiplicity 8)  2 Be 2.47
5 Au 0.0000 0.5000 0.2500 (multiplicity 4)  4 Be 2.52



An optimized crystal structure of BeHg2Au. Source: the Alexandria database, functional PBE.

Cell lengths 3.4788, 3.4788, 6.0039 Å; angles 90.00, 90.00, 90.00 degrees
Closest atoms and distances in Å follow each position.
Space group P4/mmm (No. 123)
Asymmetric unit:
1 Be 0.0000 0.0000 0.0000 (multiplicity 1)  8 Hg 2.82, 2 Au 3.00
2 Hg 0.5000 0.5000 0.2313 (multiplicity 2)  1 Hg 2.78, 4 Be 2.82, 4 Au 2.94
3 Au 0.0000 0.0000 0.5000 (multiplicity 1)  8 Hg 2.94, 2 Be 3.00



An optimized crystal structure of BeHg3Au. Source: the Alexandria database, functional PBE.

Cell lengths 4.8209, 4.8209, 4.8209 Å; angles 90.00, 90.00, 90.00 degrees
Closest atoms and distances in Å follow each position.
Space group Pm-3m (No. 221)
Asymmetric unit:
1 Be 0.0000 0.0000 0.0000 (multiplicity 1)  6 Hg 2.41
2 Hg 0.0000 0.0000 0.5000 (multiplicity 3)  2 Be 2.41
3 Au 0.5000 0.5000 0.5000 (multiplicity 1)  12 Hg 3.41



An optimized crystal structure of BeHg2Au. Source: the Alexandria database, functional PBE.

Cell lengths 4.2001, 4.2001, 4.1965 Å; angles 90.00, 90.00, 90.00 degrees
Closest atoms and distances in Å follow each position.
Space group P4/mmm (No. 123)
Asymmetric unit:
1 Be 0.0000 0.0000 0.0000 (multiplicity 1)  8 Hg 2.97, 4 Au 2.97
2 Hg 0.0000 0.5000 0.5000 (multiplicity 2)  4 Be 2.97, 4 Au 2.97, 4 Hg 2.97
3 Au 0.5000 0.5000 0.0000 (multiplicity 1)  8 Hg 2.97, 4 Be 2.97



An optimized crystal structure of Be2HgAu. Source: the Alexandria database, functional PBE.

Cell lengths 3.0430, 3.8413, 5.2243 Å; angles 90.00, 90.21, 90.00 degrees
Closest atoms and distances in Å follow each position.
Space group Pm (No. 6)
Asymmetric unit:
1 Be 0.0000 0.0000 0.0000 (multiplicity 1)  2 Be 2.23, 2 Au 2.34, 2 Hg 2.42
2 Be 0.0016 0.5000 0.2180 (multiplicity 1)  2 Be 2.23
3 Hg 0.9962 0.5000 0.7179 (multiplicity 1)  4 Be 2.42-2.61
4 Au 0.5020 0.0000 0.3409 (multiplicity 1)  6 Be 2.34-2.53



An optimized crystal structure of Be3HgAu. Source: the Alexandria database, functional PBE.

Cell lengths 4.4155, 4.4155, 4.4155 Å; angles 90.00, 90.00, 90.00 degrees
Closest atoms and distances in Å follow each position.
Space group Pm-3m (No. 221)
Asymmetric unit:
1 Be 0.0000 0.0000 0.5000 (multiplicity 3)  2 Au 2.21
2 Hg 0.5000 0.5000 0.5000 (multiplicity 1)  12 Be 3.12
3 Au 0.0000 0.0000 0.0000 (multiplicity 1)  6 Be 2.21



An optimized crystal structure of BeHg2Au. Source: the Alexandria database, functional PBE.

Cell lengths 4.2463, 4.2556, 8.7362 Å; angles 90.00, 90.00, 90.00 degrees
Closest atoms and distances in Å follow each position.
Space group Cmm2 (No. 35)
Asymmetric unit:
1 Be 0.0000 0.0000 0.0000 (multiplicity 2)  4 Au 2.39
2 Hg 0.0000 0.0000 0.4300 (multiplicity 2)  4 Hg 3.01
3 Hg 0.0000 0.5000 0.7556 (multiplicity 2)  4 Hg 3.01, 4 Be 3.01, 1 Au 3.22
4 Au 0.0000 0.5000 0.1244 (multiplicity 2)  4 Be 2.39



An optimized crystal structure of Be2HgAu. Source: the Alexandria database, functional PBE.

Cell lengths 3.1806, 3.1806, 5.6823 Å; angles 90.00, 90.00, 90.00 degrees
Closest atoms and distances in Å follow each position.
Space group P4mm (No. 99)
Asymmetric unit:
1 Be 0.0000 0.0000 0.0000 (multiplicity 1)  4 Au 2.45, 1 Hg 2.56, 4 Be 2.60
2 Be 0.5000 0.5000 0.2291 (multiplicity 1)  1 Au 2.29
3 Hg 0.0000 0.0000 0.4505 (multiplicity 1)  5 Be 2.56-2.58
4 Au 0.5000 0.5000 0.8268 (multiplicity 1)  5 Be 2.29-2.45



no.,formation energy from the elements (meV/atom),electronic total energy (eV per atom)
1,-47,-3.1161
2,363,-1.5383
3,345,-1.2367
4,404,-1.4976
5,180,-2.5775
6,503,-2.4484
7,132,-1.7700
8,148,-2.6097